Entry from the Alexandria database: a crystal of NbPHO5 relaxed with PBEsol (SCAN).

Output
- Fermi-level density of states: 0.1 states/eV/cell
- Total energy: -12.0415 eV per atom
- Calculated volume: 194.1 Å³/cell

```
NbPHO5
1.0
-1.386 0.130 -5.219
-1.438 -5.049 1.200
-4.751 4.904 3.429
P O Nb H
2 10 2 2
Direct
0.440 0.108 0.774
0.560 0.892 0.226
0.332 0.792 0.646
0.712 0.815 0.081
0.741 0.182 0.888
0.125 0.316 0.279
0.875 0.684 0.721
0.259 0.818 0.112
0.668 0.208 0.354
0.288 0.185 0.919
0.605 0.737 0.363
0.395 0.263 0.637
0.500 0.500 0.500
0.000 0.000 0.000
0.967 0.322 0.326
0.033 0.678 0.674
```

---

Entry from the Alexandria database: a crystal of LaBeNb3 relaxed with PBEsol (SCAN).

Output
- Fermi-level density of states: 8.8 states/eV/cell
- Calculated volume: 98.0 Å³/cell
- DFT formation energy: 0.718 eV per atom

```
LaBeNb3
1.0
-3.582 2.903 0.073
-2.221 -2.813 2.901
1.871 2.219 3.583
La Nb Be
1 3 1
Direct
0.500 0.500 0.500
0.000 0.500 0.000
0.000 0.000 0.500
0.500 0.000 0.000
0.000 0.000 0.000
```

---

Entry from the Alexandria database: a crystal of TlFe2Ag relaxed with PBEsol (SCAN).

Output
- Fermi-level density of states: 2.1 states/eV/cell
- Relative energy among the computed polymorphs: 0.000 eV per formula unit
- Calculated volume: 62.7 Å³/cell
- DFT formation energy: 0.312 eV per atom

```
TlFe2Ag
1.0
-1.950 -1.902 -1.319
2.172 -2.099 -0.185
-1.807 -2.413 6.150
Ag Fe Tl
1 2 1
Direct
0.500 0.500 0.789
0.500 0.500 0.197
0.000 0.000 0.039
0.000 0.000 0.475
```

---

Entry from the Alexandria database: a crystal of ZrAg2Au relaxed with PBEsol (SCAN).

Output
- Fermi-level density of states: 2.2 states/eV/cell
- Relative energy among the computed polymorphs: 0.000 eV per formula unit
- Calculated volume: 70.9 Å³/cell
- DFT formation energy: -0.305 eV per atom

```
ZrAg2Au
1.0
4.381 0.000 0.000
-2.190 4.292 -0.048
0.000 -2.193 3.792
Au Ag Zr
1 2 1
Direct
0.500 0.000 0.500
0.250 0.500 0.750
0.000 0.000 0.000
0.750 0.500 0.250
```